VASP calculation (SCAN) on a crystal of InHg2Pb relaxed with PBEsol.

Cell: 3.248 5.173 6.077 Å, 90.00 92.29 90.00°
Space group P2/m (No. 10)
Asymmetric unit:
In 0.000 0.000 0.000
Hg 0.074 0.500 0.746
Pb 0.500 0.000 0.500

Properties
The value obtained for the total moment is 0.00 μB per formula unit. The formation energy comes out at 0.2 eV/f.u. As for the volume: 102.01 Å³/cell. The density of states at the Fermi level comes out at 0.4043 states/eV per atom.


VASP calculation (SCAN) on a crystal of In2HgPb relaxed with PBEsol.

Cell: 3.404 4.332 6.960 Å, 90.00 90.00 90.00°
Space group Pmm2 (No. 25)
Asymmetric unit:
In 0.000 0.000 0.000
In 0.500 0.500 0.248
Hg 0.500 0.500 0.775
Pb 0.000 0.000 0.515

Properties
The value obtained for the total moment is 0.00 μB per formula unit. The formation energy comes out at 0.2 eV/f.u. As for the volume: 102.63 Å³/cell. The density of states at the Fermi level comes out at 0.3674 states/eV per atom.


VASP calculation (SCAN) on a crystal of InHg2Pb relaxed with PBEsol.

Cell: 3.443 5.358 5.484 Å, 90.00 90.19 90.00°
Space group Pm (No. 6)
Asymmetric unit:
In 0.000 0.000 0.000
Hg 0.501 0.000 0.500
Hg 0.501 0.500 0.994
Pb 0.001 0.500 0.494

Properties
The value obtained for the total moment is 0.00 μB per formula unit. The formation energy comes out at 0.2 eV/f.u. As for the volume: 101.15 Å³/cell. The density of states at the Fermi level comes out at 0.4178 states/eV per atom.


VASP calculation (SCAN) on a crystal of InHg2Pb relaxed with PBEsol.

Cell: 3.780 5.395 9.938 Å, 90.00 90.00 90.00°
Space group Immm (No. 71)
Asymmetric unit:
In 0.000 0.000 0.000
Hg 0.000 0.500 0.258
Pb 0.000 0.000 0.500

Properties
The value obtained for the total moment is 0.00 μB per formula unit. The formation energy comes out at 0.2 eV/f.u. As for the volume: 202.66 Å³/cell. The density of states at the Fermi level comes out at 0.3926 states/eV per atom.